A plane-wave DFT calculation with SCAN was carried out for a crystal of Se2BrCl relaxed with PBEsol.

The structure in POSCAR format:
```
Se2BrCl
1.0
4.0652 0.0000 0.0000
0.0000 4.0652 0.0000
0.0000 0.0000 6.8126
Se Br Cl
2 1 1
Cartesian
0.0000 0.0000 0.0000
2.0326 2.0326 0.2051
0.0000 0.0000 2.3267
2.0326 2.0326 4.8364
```

The uncorrected formation energy is 6 kJ/mol of atoms. As for the theoretical density: 4.03 Mg/m³. The total DFT energy (no corrections) is -67.34 eV per cell.